First-principles (PBE) data for an optimized crystal structure of SbOs2Se, as listed in the Alexandria database.

Properties
**Offset from the most stable computed form**: 0.123 eV per atom
**Energy relative to the elements, uncorrected**: 0.4766 eV/atom
**DOS(E_F)**: 2.416 states/eV per cell
**Spin magnetization**: 0.00 μB/atom

Unit cell a=10.0200 b=10.0200 c=10.0200 alpha=17.53 beta=17.53 gamma=17.53
Closest atoms and distances in Å follow each position.
Sites, in units of the cell vectors:
Sb 0.0000 0.0000 0.0000  3 Os 2.74, 6 Sb 3.05
Os 0.2626 0.2626 0.2626  3 Sb 2.74, 9 Os 2.79-3.05
Os 0.5228 0.5228 0.5228  3 Se 2.48
Se 0.7973 0.7973 0.7973  3 Os 2.48

---

First-principles (PBE) data for an optimized crystal structure of TaTc2Se6, as listed in the Alexandria database.

Properties
**Energy relative to the elements, uncorrected**: -0.5085 eV/atom
**DOS(E_F)**: 2.589 states/eV per cell
**Spin magnetization**: 0.14 μB/atom

Unit cell a=7.2293 b=7.2293 c=10.4849 alpha=121.62 beta=121.62 gamma=27.89
Closest atoms and distances in Å follow each position.
Sites, in units of the cell vectors:
Ta 0.0000 0.0000 0.0000  6 Se 2.58-2.60
Tc 0.3117 0.3117 0.6290  6 Se 2.42-2.71
Tc 0.6883 0.6883 0.3710  6 Se 2.42-2.71
Se 0.0219 0.0219 0.2605  1 Ta 2.58, 2 Tc 2.63
Se 0.3318 0.3318 0.4142  3 Tc 2.42-2.51
Se 0.3382 0.3382 0.9045  2 Ta 2.60, 1 Tc 2.71
Se 0.6618 0.6618 0.0955  2 Ta 2.60, 1 Tc 2.71
Se 0.6682 0.6682 0.5858  3 Tc 2.42-2.51
Se 0.9781 0.9781 0.7395  1 Ta 2.58, 2 Tc 2.63

---

First-principles (PBE) data for an optimized crystal structure of Cs2PbWCl6, as listed in the Alexandria database.

Properties
**Energy relative to the elements, uncorrected**: -1.1124 eV/atom
**DOS(E_F)**: 2.773 states/eV per cell
**Spin magnetization**: 0.40 μB/atom

Unit cell a=7.7648 b=7.7648 c=7.7648 alpha=120.16 beta=120.16 gamma=89.72
Closest atoms and distances in Å follow each position.
Sites, in units of the cell vectors:
Cs 0.2500 0.7500 0.5000  12 Cl 3.88-3.89
Cs 0.7500 0.2500 0.5000  12 Cl 3.88-3.89
Pb 0.0000 0.0000 0.0000  6 Cl 2.99-3.01
W 0.5000 0.5000 0.0000  6 Cl 2.49-2.50
Cl 0.2731 0.2731 0.0000  1 W 2.50
Cl 0.2726 0.2726 0.5452  1 W 2.49
Cl 0.2726 0.7274 0.0000  1 W 2.49
Cl 0.7274 0.2726 0.0000  1 W 2.49
Cl 0.7269 0.7269 0.0000  1 W 2.50
Cl 0.7274 0.7274 0.4548  1 W 2.49

---

First-principles (PBE) data for an optimized crystal structure of AsPtBr2O, as listed in the Alexandria database.

Properties
**Offset from the most stable computed form**: 0.000 eV per atom
**Energy relative to the elements, uncorrected**: 0.8560 eV/atom
**DOS(E_F)**: 3.860 states/eV per cell
**Spin magnetization**: 0.00 μB/atom

Unit cell a=4.7380 b=4.7380 c=4.2516 alpha=90.00 beta=90.00 gamma=90.00
Closest atoms and distances in Å follow each position.
Sites, in units of the cell vectors:
As 0.0000 0.0000 0.0000  2 O 2.13
Pt 0.5000 0.5000 0.0000  8 Br 3.18, 4 As 3.35
Br 0.0000 0.5000 0.5000  2 O 2.37
Br 0.5000 0.0000 0.5000  2 O 2.37
O 0.0000 0.0000 0.5000  2 As 2.13, 4 Br 2.37

---

First-principles (PBE) data for an optimized crystal structure of Hf3Zn2Pd4, as listed in the Alexandria database.

Properties
**DOS(E_F)**: 10.970 states/eV per cell
**Spin magnetization**: 0.00 μB/atom
**DFT formation energy**: -0.56 eV per atom

Unit cell a=8.1679 b=8.1679 c=4.8887 alpha=97.99 beta=97.99 gamma=73.77
Closest atoms and distances in Å follow each position.
Sites, in units of the cell vectors:
Hf 0.1349 0.8651 0.7500  4 Pd 2.76, 6 Zn 2.79-2.91
Hf 0.2129 0.4529 0.9160  8 Pd 2.79-2.89, 2 Zn 2.88-2.90
Hf 0.4529 0.2129 0.4160  8 Pd 2.79-2.89, 2 Zn 2.88-2.90
Hf 0.5471 0.7871 0.5840  8 Pd 2.79-2.89, 2 Zn 2.88-2.90
Hf 0.7871 0.5471 0.0840  8 Pd 2.79-2.89, 2 Zn 2.88-2.90
Hf 0.8651 0.1349 0.2500  4 Pd 2.76, 6 Zn 2.79-2.91
Zn 0.0177 0.7664 0.1956  4 Pd 2.77-2.83, 1 Zn 2.78, 5 Hf 2.79-2.91
Zn 0.2336 0.9823 0.3044  4 Pd 2.77-2.83, 1 Zn 2.78, 5 Hf 2.79-2.91
Zn 0.7664 0.0177 0.6956  4 Pd 2.77-2.83, 1 Zn 2.78, 5 Hf 2.79-2.91
Zn 0.9823 0.2336 0.8044  4 Pd 2.77-2.83, 1 Zn 2.78, 5 Hf 2.79-2.91
Pd 0.0891 0.3393 0.3611  5 Hf 2.76-2.88, 3 Zn 2.77-2.83, 2 Pd 2.88-2.94
Pd 0.3166 0.5685 0.4675  5 Hf 2.76-2.89, 1 Zn 2.80, 4 Pd 2.81-2.94
Pd 0.3393 0.0891 0.8611  5 Hf 2.76-2.88, 3 Zn 2.77-2.83, 2 Pd 2.88-2.94
Pd 0.4315 0.6834 0.0325  5 Hf 2.76-2.89, 1 Zn 2.80, 4 Pd 2.81-2.94
Pd 0.5685 0.3166 0.9675  5 Hf 2.76-2.89, 1 Zn 2.80, 4 Pd 2.81-2.94
Pd 0.6607 0.9109 0.1389  5 Hf 2.76-2.88, 3 Zn 2.77-2.83, 2 Pd 2.88-2.94
Pd 0.6834 0.4315 0.5325  5 Hf 2.76-2.89, 1 Zn 2.80, 4 Pd 2.81-2.94
Pd 0.9109 0.6607 0.6389  5 Hf 2.76-2.88, 3 Zn 2.77-2.83, 2 Pd 2.88-2.94

---

First-principles (PBE) data for an optimized crystal structure of Tb2MgCu3Ge4, as listed in the Alexandria database.

Properties
**DOS(E_F)**: 1.760 states/eV per cell
**Spin magnetization**: 0.00 μB/atom
**DFT formation energy**: -0.48 eV per atom

Unit cell a=4.0949 b=4.0949 c=10.7931 alpha=90.00 beta=90.00 gamma=90.00
Closest atoms and distances in Å follow each position.
Sites, in units of the cell vectors:
Tb 0.0000 0.5000 0.2406  6 Cu 3.12-3.47, 8 Ge 3.13-3.31, 2 Mg 3.47
Tb 0.5000 0.0000 0.7594  6 Cu 3.12-3.47, 8 Ge 3.13-3.31, 2 Mg 3.47
Mg 0.0000 0.0000 0.5000  4 Ge 2.61, 4 Cu 2.90
Cu 0.0000 0.5000 0.8683  5 Ge 2.36-2.49
Cu 0.5000 0.0000 0.1317  5 Ge 2.36-2.49
Cu 0.5000 0.5000 0.5000  4 Ge 2.61, 4 Mg 2.90
Ge 0.0000 0.0000 0.0000  4 Cu 2.49
Ge 0.0000 0.5000 0.6494  3 Cu 2.36-2.61, 2 Mg 2.61
Ge 0.5000 0.0000 0.3506  3 Cu 2.36-2.61, 2 Mg 2.61
Ge 0.5000 0.5000 0.0000  4 Cu 2.49

---

First-principles (PBE) data for an optimized crystal structure of Pm2B3C2, as listed in the Alexandria database.

Properties
**DOS(E_F)**: 2.872 states/eV per cell
**Spin magnetization**: 0.00 μB/atom
**DFT formation energy**: -0.42 eV per atom

Unit cell a=3.4981 b=3.8117 c=7.0835 alpha=90.00 beta=103.68 gamma=90.00
Closest atoms and distances in Å follow each position.
Sites, in units of the cell vectors:
Pm 0.1412 0.0000 0.2684  4 C 2.62, 6 B 2.80-2.83
Pm 0.8588 0.0000 0.7316  4 C 2.62, 6 B 2.80-2.83
B 0.2793 0.5000 0.5671  1 C 1.53
B 0.5000 0.5000 0.0000  2 C 1.45
B 0.7207 0.5000 0.4329  1 C 1.53
C 0.3876 0.5000 0.7901  2 B 1.45-1.53
C 0.6124 0.5000 0.2099  2 B 1.45-1.53

---

First-principles (PBE) data for an optimized crystal structure of KInS2Cl, as listed in the Alexandria database.

Properties
**Offset from the most stable computed form**: 0.000 eV per atom
**Energy relative to the elements, uncorrected**: -0.6446 eV/atom
**DOS(E_F)**: 4.083 states/eV per cell
**Spin magnetization**: 0.11 μB/atom

Unit cell a=5.0952 b=5.0952 c=5.6098 alpha=90.00 beta=90.00 gamma=90.00
Closest atoms and distances in Å follow each position.
Sites, in units of the cell vectors:
K 0.0000 0.0000 0.0000  4 Cl 3.60, 8 S 3.79
In 0.5000 0.5000 0.5000  4 S 2.55, 2 Cl 2.80
S 0.0000 0.5000 0.5000  2 In 2.55
S 0.5000 0.0000 0.5000  2 In 2.55
Cl 0.5000 0.5000 0.0000  2 In 2.80